Entry 1:
# BaAlCr2

An optimized crystal structure of BaAlCr2 (GGA-PBE, Alexandria via LeMat-Bulk).

It has space group Immm (No. 71), with a = 4.6689 Å, b = 5.7009 Å, c = 7.6854 Å, α = 90.00°, β = 90.00° and γ = 90.00°. Symmetry generates all atoms from Ba at (0.0000, 0.0000, 0.0000), Al at (0.0000, 0.0000, 0.5000) and Cr at (0.0000, 0.5000, 0.1984).

As for the formation energy: 72.41 kJ per mole of atoms. The energy above the lowest structure with this stoichiometry is 45.07 kJ per mole of atoms. Its volume is 25.57 A^3/atom.

=====

Entry 2:
# BaAl2Cr

An optimized crystal structure of BaAl2Cr (GGA-PBE, Alexandria via LeMat-Bulk).

It has space group Imm2 (No. 44), with a = 3.2914 Å, b = 5.6788 Å, c = 10.7844 Å, α = 90.00°, β = 90.00° and γ = 90.00°. Symmetry generates all atoms from Ba at (0.0000, 0.0000, 0.0000), Al at (0.0000, 0.0000, 0.5141), Al at (0.0000, 0.5000, 0.2174) and Cr at (0.0000, 0.5000, 0.8026).

As for the formation energy: 47.44 kJ per mole of atoms. The energy above the lowest structure with this stoichiometry is 44.99 kJ per mole of atoms. Its volume is 25.20 A^3/atom.

=====

Entry 3:
# Ba2AlCr

An optimized crystal structure of Ba2AlCr (GGA-PBE, Alexandria via LeMat-Bulk).

It has space group Cmmm (No. 65), with a = 8.3032 Å, b = 8.3111 Å, c = 4.1567 Å, α = 90.00°, β = 90.00° and γ = 90.00°. Symmetry generates all atoms from Ba at (0.2500, 0.2500, 0.0000), Al at (0.0000, 0.0000, 0.5000) and Cr at (0.0000, 0.5000, 0.5000).

As for the formation energy: 37.80 kJ per mole of atoms. Its volume is 35.86 A^3/atom.

=====

Entry 4:
# Ba2AlCr

An optimized crystal structure of Ba2AlCr (GGA-PBE, Alexandria via LeMat-Bulk).

It has space group P4mm (No. 99), with a = 3.7878 Å, b = 3.7878 Å, c = 9.7006 Å, α = 90.00°, β = 90.00° and γ = 90.00°. Symmetry generates all atoms from Ba at (0.0000, 0.0000, 0.0000), Ba at (0.5000, 0.5000, 0.4028), Al at (0.5000, 0.5000, 0.7546) and Cr at (0.0000, 0.0000, 0.6594).

As for the formation energy: 31.39 kJ per mole of atoms. Its volume is 34.79 A^3/atom.

=====

Entry 5:
# BaAlCr2

An optimized crystal structure of BaAlCr2 (GGA-PBE, Alexandria via LeMat-Bulk).

It has space group P4/mmm (No. 123), with a = 3.4483 Å, b = 3.4483 Å, c = 7.0748 Å, α = 90.00°, β = 90.00° and γ = 90.00°. Symmetry generates all atoms from Ba at (0.0000, 0.0000, 0.0000), Al at (0.0000, 0.0000, 0.5000) and Cr at (0.5000, 0.5000, 0.3644).

As for the formation energy: 50.40 kJ per mole of atoms. The energy above the lowest structure with this stoichiometry is 23.05 kJ per mole of atoms. Its volume is 21.03 A^3/atom.

=====

Entry 6:
# Ba2AlCr

An optimized crystal structure of Ba2AlCr (GGA-PBE, Alexandria via LeMat-Bulk).

It has space group F-43m (No. 216), with a = 7.9386 Å, b = 7.9386 Å, c = 7.9386 Å, α = 90.00°, β = 90.00° and γ = 90.00°. Symmetry generates all atoms from Ba at (0.0000, 0.0000, 0.0000), Ba at (0.2500, 0.2500, 0.2500), Al at (0.0000, 0.0000, 0.5000) and Cr at (0.2500, 0.2500, 0.7500).

As for the formation energy: 36.83 kJ per mole of atoms. Its volume is 31.27 A^3/atom.

=====

Entry 7:
# BaAlCr

An optimized crystal structure of BaAlCr (GGA-PBE, Alexandria via LeMat-Bulk).

It has space group F-43m (No. 216), with a = 7.1708 Å, b = 7.1708 Å, c = 7.1708 Å, α = 90.00°, β = 90.00° and γ = 90.00°. Symmetry generates all atoms from Ba at (0.0000, 0.0000, 0.0000), Al at (0.0000, 0.0000, 0.5000) and Cr at (0.2500, 0.2500, 0.2500).

As for the formation energy: 61.45 kJ per mole of atoms. The energy above the lowest structure with this stoichiometry is 24.81 kJ per mole of atoms. Its volume is 30.73 A^3/atom.

=====

Entry 8:
# BaAl2Cr

An optimized crystal structure of BaAl2Cr (GGA-PBE, Alexandria via LeMat-Bulk).

It has space group Pmmm (No. 47), with a = 4.4467 Å, b = 4.5062 Å, c = 5.0094 Å, α = 90.00°, β = 90.00° and γ = 90.00°. Symmetry generates all atoms from Ba at (0.0000, 0.0000, 0.0000), Al at (0.0000, 0.5000, 0.5000), Al at (0.5000, 0.0000, 0.5000) and Cr at (0.5000, 0.5000, 0.0000).

As for the formation energy: 50.69 kJ per mole of atoms. The energy above the lowest structure with this stoichiometry is 48.24 kJ per mole of atoms. Its volume is 25.09 A^3/atom.